No. 1
Entry from the Alexandria database: a crystal of HgPbI2N relaxed with PBEsol (meta-GGA SCAN).

Structure (POSCAR):
```
HgPbI2N
1.0
-3.257 2.862 -0.373
-3.249 -4.112 -3.187
-2.448 -2.107 5.214
N Hg I Pb
1 1 2 1
direct
0.500 0.000 0.000
0.500 0.500 0.500
0.000 0.500 0.000
0.000 0.000 0.500
0.000 0.000 0.000
```

Results
Total energy (eV/atom): -44.6521
Energy relative to the elements, uncorrected (meV/atom): 692

---

No. 2
Entry from the Alexandria database: a crystal of HgPdI2N relaxed with PBEsol (meta-GGA SCAN).

Structure (POSCAR):
```
HgPdI2N
1.0
3.716 0.000 0.000
0.000 5.663 0.000
0.000 0.000 5.663
I Pd Hg N
2 1 1 1
direct
0.000 0.000 0.500
0.000 0.500 0.000
0.000 0.000 0.000
0.500 0.500 0.500
0.500 0.000 0.000
```

Results
Total energy (eV/atom): -36.1569
Energy relative to the elements, uncorrected (meV/atom): 586

---

No. 3
Entry from the Alexandria database: a crystal of HgPtIN2 relaxed with PBEsol (meta-GGA SCAN).

Structure (POSCAR):
```
HgPtIN2
1.0
3.871 0.000 0.000
0.000 3.871 0.000
0.000 0.000 7.592
I N Hg Pt
1 2 1 1
direct
0.000 0.000 0.500
0.500 0.000 0.000
0.000 0.500 0.000
0.500 0.500 0.500
0.000 0.000 0.000
```

Results
Total energy (eV/atom): -37.5440
Energy relative to the elements, uncorrected (meV/atom): 1193

---

No. 4
Entry from the Alexandria database: a crystal of HgRuI2N relaxed with PBEsol (meta-GGA SCAN).

Structure (POSCAR):
```
HgRuI2N
1.0
-2.952 -2.516 -0.831
-0.086 -1.763 5.643
-3.948 4.217 1.257
Hg Ru I N
1 1 2 1
direct
0.000 0.000 0.000
0.500 0.500 0.500
0.000 0.500 0.000
0.000 0.000 0.500
0.500 0.000 0.000
```

Results
Total energy (eV/atom): -35.6504
Energy relative to the elements, uncorrected (meV/atom): 1503

---

No. 5
Entry from the Alexandria database: a crystal of HgSbI2N relaxed with PBEsol (meta-GGA SCAN).

Structure (POSCAR):
```
HgSbI2N
1.0
5.077 0.000 0.000
0.000 5.077 0.000
0.000 0.000 4.712
Sb N I Hg
1 1 2 1
direct
0.000 0.000 0.500
0.000 0.000 0.000
0.000 0.500 0.000
0.500 0.000 0.000
0.500 0.500 0.500
```

Results
Total energy (eV/atom): -36.7538
Energy relative to the elements, uncorrected (meV/atom): 886
Distance to the lowest polymorph of the same formula (meV per atom): 289.6

---

No. 6
Entry from the Alexandria database: a crystal of HgSbI2N relaxed with PBEsol (meta-GGA SCAN).

Structure (POSCAR):
```
HgSbI2N
1.0
-3.408 -1.910 0.462
-0.149 -1.169 -5.930
3.016 -5.155 0.940
I Hg N Sb
2 1 1 1
direct
0.000 0.500 0.000
0.000 0.000 0.500
0.500 0.500 0.500
0.500 0.000 0.000
0.000 0.000 0.000
```

Results
Total energy (eV/atom): -37.0434
Energy relative to the elements, uncorrected (meV/atom): 597
Distance to the lowest polymorph of the same formula (meV per atom): 0.0

---

No. 7
Entry from the Alexandria database: a crystal of HgSeI2N relaxed with PBEsol (meta-GGA SCAN).

Structure (POSCAR):
```
HgSeI2N
1.0
4.024 0.000 0.000
0.000 5.905 0.000
0.000 0.000 5.905
N Se I Hg
1 1 2 1
direct
0.500 0.000 0.000
0.500 0.500 0.500
0.000 0.000 0.500
0.000 0.500 0.000
0.000 0.000 0.000
```

Results
Total energy (eV/atom): -33.0218
Energy relative to the elements, uncorrected (meV/atom): 1182

---

No. 8
Entry from the Alexandria database: a crystal of HgSe2IN relaxed with PBEsol (meta-GGA SCAN).

Structure (POSCAR):
```
HgSe2IN
1.0
-0.672 -4.014 0.323
5.230 -0.944 -0.849
0.909 0.275 5.298
Se N Hg I
2 1 1 1
direct
0.000 0.500 0.000
0.000 0.000 0.500
0.500 0.000 0.000
0.000 0.000 0.000
0.500 0.500 0.500
```

Results
Total energy (eV/atom): -29.6117
Energy relative to the elements, uncorrected (meV/atom): 1259
Distance to the lowest polymorph of the same formula (meV per atom): 30.1

---

No. 9
Entry from the Alexandria database: a crystal of HgSeIN2 relaxed with PBEsol (meta-GGA SCAN).

Structure (POSCAR):
```
HgSeIN2
1.0
-1.383 2.749 2.518
-3.480 -1.916 0.180
2.007 -3.212 4.609
Se N I Hg
1 2 1 1
direct
0.000 0.000 0.500
0.000 0.500 0.000
0.500 0.000 0.000
0.000 0.000 0.000
0.500 0.500 0.500
```

Results
Total energy (eV/atom): -27.0450
Energy relative to the elements, uncorrected (meV/atom): 1669

---

No. 10
Entry from the Alexandria database: a crystal of HgSe2IN relaxed with PBEsol (meta-GGA SCAN).

Structure (POSCAR):
```
HgSe2IN
1.0
3.940 0.000 0.000
0.000 5.433 0.000
0.000 0.000 5.433
Se Hg I N
2 1 1 1
direct
0.000 0.500 0.000
0.000 0.000 0.500
0.500 0.500 0.500
0.000 0.000 0.000
0.500 0.000 0.000
```

Results
Total energy (eV/atom): -29.6417
Energy relative to the elements, uncorrected (meV/atom): 1229
Distance to the lowest polymorph of the same formula (meV per atom): 0.0

---

No. 11
Entry from the Alexandria database: a crystal of HgTe2IN relaxed with PBEsol (meta-GGA SCAN).

Structure (POSCAR):
```
HgTe2IN
1.0
4.982 0.000 0.000
0.000 4.784 0.000
0.000 0.000 4.784
N I Hg Te
1 1 1 2
direct
0.000 0.000 0.000
0.500 0.000 0.000
0.500 0.500 0.500
0.000 0.500 0.000
0.000 0.000 0.500
```

Results
Total energy (eV/atom): -36.8754
Energy relative to the elements, uncorrected (meV/atom): 865

---

No. 12
Entry from the Alexandria database: a crystal of HgWI2N relaxed with PBEsol (meta-GGA SCAN).

Structure (POSCAR):
```
HgWI2N
1.0
-0.960 1.990 3.265
-4.979 1.918 -2.633
-2.918 -4.765 2.046
W Hg N I
1 1 1 2
direct
0.500 0.500 0.500
0.000 0.000 0.000
0.500 0.000 0.000
0.000 0.500 0.000
0.000 0.000 0.500
```

Results
Total energy (eV/atom): -42.1080
Energy relative to the elements, uncorrected (meV/atom): 2018

---

No. 13
Entry from the Alexandria database: a crystal of HgWIN2 relaxed with PBEsol (meta-GGA SCAN).

Structure (POSCAR):
```
HgWIN2
1.0
4.119 0.000 0.000
0.000 4.119 0.000
0.000 0.000 7.152
Hg N I W
1 2 1 1
direct
0.000 0.000 0.000
0.000 0.500 0.000
0.500 0.000 0.000
0.000 0.000 0.500
0.500 0.500 0.500
```

Results
Total energy (eV/atom): -35.9642
Energy relative to the elements, uncorrected (meV/atom): 2671

---

No. 14
Entry from the Alexandria database: a crystal of ZnHgI2N relaxed with PBEsol (meta-GGA SCAN).

Structure (POSCAR):
```
ZnHgI2N
1.0
-0.909 3.103 -1.952
-5.577 -1.194 0.699
-0.043 3.050 4.870
Zn N Hg I
1 1 1 2
direct
0.000 0.000 0.000
0.500 0.000 0.000
0.500 0.500 0.500
0.000 0.500 0.000
0.000 0.000 0.500
```

Results
Total energy (eV/atom): -32.3903
Energy relative to the elements, uncorrected (meV/atom): 501

---

No. 15
Entry from the Alexandria database: a crystal of Na2HgI2 relaxed with PBEsol (meta-GGA SCAN).

Structure (POSCAR):
```
Na2HgI2
1.0
-1.780 4.479 -2.826
1.763 -2.310 -4.772
-5.737 -3.859 3.020
Na I Hg
2 2 1
direct
0.250 0.750 0.500
0.750 0.250 0.500
0.655 0.655 0.310
0.345 0.345 0.690
0.000 0.000 0.000
```

Results
Total energy (eV/atom): -31.0110
Energy relative to the elements, uncorrected (meV/atom): -995

---

No. 16
Entry from the Alexandria database: a crystal of NaHg2I2 relaxed with PBEsol (meta-GGA SCAN).

Structure (POSCAR):
```
NaHg2I2
1.0
-0.079 3.124 5.243
3.800 -4.985 -0.525
6.020 0.900 -0.446
I Na Hg
2 1 2
direct
0.250 0.500 0.250
0.750 0.500 0.750
0.000 0.000 0.000
0.351 0.702 0.649
0.649 0.298 0.351
```

Results
Total energy (eV/atom): -43.2162
Energy relative to the elements, uncorrected (meV/atom): -410

---

No. 17
Entry from the Alexandria database: a crystal of NiHgSbI2 relaxed with PBEsol (meta-GGA SCAN).

Structure (POSCAR):
```
NiHgSbI2
1.0
-3.462 3.711 -2.171
1.664 -1.524 -5.259
-4.135 -3.953 -0.163
Sb Hg I Ni
1 1 2 1
direct
0.500 0.000 0.000
0.000 0.000 0.000
0.000 0.500 0.000
0.000 0.000 0.500
0.500 0.500 0.500
```

Results
Total energy (eV/atom): -37.9808
Energy relative to the elements, uncorrected (meV/atom): 1036

---

No. 18
Entry from the Alexandria database: a crystal of HgIO2 relaxed with PBEsol (meta-GGA SCAN).

Structure (POSCAR):
```
HgIO2
1.0
4.356 0.000 0.000
2.178 3.772 0.000
2.178 1.257 3.557
O Hg I
2 1 1
direct
0.250 0.250 0.250
0.750 0.750 0.750
0.500 0.500 0.500
0.000 0.000 0.000
```

Results
Total energy (eV/atom): -28.5504
Energy relative to the elements, uncorrected (meV/atom): 792

---

No. 19
Entry from the Alexandria database: a crystal of HgIO3 relaxed with PBEsol (meta-GGA SCAN).

Structure (POSCAR):
```
HgIO3
1.0
-2.062 2.290 2.772
-0.221 -3.270 2.538
3.589 1.115 1.748
O Hg I
3 1 1
direct
0.500 0.000 0.500
0.000 0.500 0.500
0.500 0.500 0.000
0.000 0.000 0.000
0.500 0.500 0.500
```

Results
Total energy (eV/atom): -24.6706
Energy relative to the elements, uncorrected (meV/atom): 50

---

No. 20
Entry from the Alexandria database: a crystal of ReHgI2O relaxed with PBEsol (meta-GGA SCAN).

Structure (POSCAR):
```
ReHgI2O
1.0
4.001 0.000 0.000
0.000 5.832 0.000
0.000 0.000 5.832
Re I O Hg
1 2 1 1
direct
0.500 0.500 0.500
0.000 0.500 0.000
0.000 0.000 0.500
0.500 0.000 0.000
0.000 0.000 0.000
```

Results
Total energy (eV/atom): -42.4542
Energy relative to the elements, uncorrected (meV/atom): 1341

---

No. 21
Entry from the Alexandria database: a crystal of HgSb2IO relaxed with PBEsol (meta-GGA SCAN).

Structure (POSCAR):
```
HgSb2IO
1.0
-3.779 3.200 2.391
1.264 -2.165 4.894
3.958 4.086 0.786
Sb Hg I O
2 1 1 1
direct
0.000 0.500 0.000
0.500 0.000 0.000
0.000 0.000 0.000
0.000 0.000 0.500
0.500 0.500 0.500
```

Results
Total energy (eV/atom): -36.0003
Energy relative to the elements, uncorrected (meV/atom): 1132
Distance to the lowest polymorph of the same formula (meV per atom): 969.3

---

No. 22
Entry from the Alexandria database: a crystal of HgSb2IO relaxed with PBEsol (meta-GGA SCAN).

Structure (POSCAR):
```
HgSb2IO
1.0
4.447 0.000 0.000
0.000 4.447 0.000
0.000 0.000 6.705
O Sb I Hg
1 2 1 1
direct
0.000 0.000 0.000
0.500 0.000 0.000
0.000 0.500 0.000
0.000 0.000 0.500
0.500 0.500 0.500
```

Results
Total energy (eV/atom): -36.9696
Energy relative to the elements, uncorrected (meV/atom): 162
Distance to the lowest polymorph of the same formula (meV per atom): 0.0

---

No. 23
Entry from the Alexandria database: a crystal of SiHgI2O relaxed with PBEsol (meta-GGA SCAN).

Structure (POSCAR):
```
SiHgI2O
1.0
3.998 0.000 0.000
0.000 5.809 0.000
0.000 0.000 5.809
O I Si Hg
1 2 1 1
direct
0.500 0.000 0.000
0.000 0.000 0.500
0.000 0.500 0.000
0.500 0.500 0.500
0.000 0.000 0.000
```

Results
Total energy (eV/atom): -30.9487
Energy relative to the elements, uncorrected (meV/atom): 630

---

No. 24
Entry from the Alexandria database: a crystal of TaHgI2O relaxed with PBEsol (meta-GGA SCAN).

Structure (POSCAR):
```
TaHgI2O
1.0
-1.049 1.998 3.154
1.927 -4.191 3.296
5.107 2.459 0.141
Hg I Ta O
1 2 1 1
direct
0.500 0.500 0.500
0.000 0.500 0.000
0.000 0.000 0.500
0.000 0.000 0.000
0.500 0.000 0.000
```

Results
Total energy (eV/atom): -43.6018
Energy relative to the elements, uncorrected (meV/atom): -709

---

No. 25
Entry from the Alexandria database: a crystal of HgTeI2O relaxed with PBEsol (meta-GGA SCAN).

Structure (POSCAR):
```
HgTeI2O
1.0
-2.702 3.165 -3.789
-5.033 -1.455 2.373
0.355 4.528 3.529
I Te O Hg
2 1 1 1
direct
0.000 0.000 0.500
0.000 0.500 0.000
0.500 0.000 0.000
0.500 0.500 0.500
0.000 0.000 0.000
```

Results
Total energy (eV/atom): -36.2138
Energy relative to the elements, uncorrected (meV/atom): 812
Distance to the lowest polymorph of the same formula (meV per atom): 393.2

---

No. 26
Entry from the Alexandria database: a crystal of HgTeI2O relaxed with PBEsol (meta-GGA SCAN).

Structure (POSCAR):
```
HgTeI2O
1.0
3.998 0.000 0.000
0.000 5.892 0.000
0.000 0.000 5.892
I O Te Hg
2 1 1 1
direct
0.000 0.000 0.500
0.000 0.500 0.000
0.500 0.000 0.000
0.500 0.500 0.500
0.000 0.000 0.000
```

Results
Total energy (eV/atom): -36.6070
Energy relative to the elements, uncorrected (meV/atom): 419
Distance to the lowest polymorph of the same formula (meV per atom): 0.0

---

No. 27
Entry from the Alexandria database: a crystal of HgTe2IO relaxed with PBEsol (meta-GGA SCAN).

Structure (POSCAR):
```
HgTe2IO
1.0
5.571 0.000 0.000
0.000 5.571 0.000
0.000 0.000 5.784
Te O Hg I
2 1 1 1
direct
0.500 0.000 0.000
0.000 0.500 0.000
0.500 0.500 0.500
0.000 0.000 0.000
0.000 0.000 0.500
```

Results
Total energy (eV/atom): -36.1876
Energy relative to the elements, uncorrected (meV/atom): 941

---

No. 28
Entry from the Alexandria database: a crystal of YHgIO2 relaxed with PBEsol (meta-GGA SCAN).

Structure (POSCAR):
```
YHgIO2
1.0
4.329 0.000 0.000
0.000 4.329 0.000
0.000 0.000 5.497
I O Y Hg
1 2 1 1
direct
0.000 0.000 0.500
0.000 0.500 0.000
0.500 0.000 0.000
0.500 0.500 0.500
0.000 0.000 0.000
```

Results
Total energy (eV/atom): -29.2941
Energy relative to the elements, uncorrected (meV/atom): -252

---

No. 29
Entry from the Alexandria database: a crystal of ZnHgI2O relaxed with PBEsol (meta-GGA SCAN).

Structure (POSCAR):
```
ZnHgI2O
1.0
3.497 0.000 0.000
0.000 6.041 0.000
0.000 0.000 6.041
I Hg O Zn
2 1 1 1
direct
0.000 0.500 0.000
0.000 0.000 0.500
0.500 0.500 0.500
0.500 0.000 0.000
0.000 0.000 0.000
```

Results
Total energy (eV/atom): -32.4477
Energy relative to the elements, uncorrected (meV/atom): -169

---

Number 1: spin magnetization 1.8 μB/f.u.. Number 2: spin magnetization 0.0 μB/f.u.. Number 3: spin magnetization 0.0 μB/f.u.. Number 4: spin magnetization 4.9 μB/f.u.. Number 5: spin magnetization 0.0 μB/f.u.. Number 6: spin magnetization 0.0 μB/f.u.. Number 7: spin magnetization 4.7 μB/f.u.. Number 8: spin magnetization 2.0 μB/f.u.. Number 9: spin magnetization 0.0 μB/f.u.. Number 10: spin magnetization 0.0 μB/f.u.. Number 11: spin magnetization 0.0 μB/f.u.. Number 12: spin magnetization 6.4 μB/f.u.. Number 13: spin magnetization 7.7 μB/f.u.. Number 14: spin magnetization 2.0 μB/f.u.. Number 15: spin magnetization 0.0 μB/f.u.. Number 16: spin magnetization 0.0 μB/f.u.. Number 17: spin magnetization 2.6 μB/f.u.. Number 18: spin magnetization 1.5 μB/f.u.. Number 19: spin magnetization 0.0 μB/f.u.. Number 20: spin magnetization 5.4 μB/f.u.. Number 21: spin magnetization 0.3 μB/f.u.. Number 22: spin magnetization 0.0 μB/f.u.. Number 23: spin magnetization 0.0 μB/f.u.. Number 24: spin magnetization 0.7 μB/f.u.. Number 25: spin magnetization 3.5 μB/f.u.. Number 26: spin magnetization 0.3 μB/f.u.. Number 27: spin magnetization 4.3 μB/f.u.. Number 28: spin magnetization 0.0 μB/f.u.. Number 29: spin magnetization 0.4 μB/f.u..